# PBE-GGA Cr2PdRh6, relaxed
data_Cr2PdRh6
_chemical_formula_sum 'Cr2 Pd1 Rh6'
_cell_length_a 3.826
_cell_length_b 4.674
_cell_length_c 8.108
_cell_angle_alpha 106.46
_cell_angle_beta 90.00
_cell_angle_gamma 114.16
_space_group_name_H-M_alt 'P 1'
_space_group_IT_number 1
loop_
_space_group_symop_operation_xyz
'x,y,z'
loop_
_atom_site_label
_atom_site_type_symbol
_atom_site_fract_x
_atom_site_fract_y
_atom_site_fract_z
Rh1 Rh 0.667 0.334 0.387
Rh2 Rh 0.330 0.661 0.944
Rh3 Rh 0.000 0.000 0.834
Rh4 Rh 0.333 0.666 0.613
Rh5 Rh 0.670 0.339 0.056
Rh6 Rh 0.000 0.000 0.166
Cr1 Cr 0.328 0.656 0.276
Cr2 Cr 0.672 0.344 0.724
Pd1 Pd 0.000 0.000 0.500
# size of the total moment = 2.66 μB per formula unit
# density = 10.93 g/cm³
# space group = C2/m (12)
# ΔE_f = -0.04 eV/atom